VASP calculation (GGA-PBE) on a geometry-optimized Ag2Pt2Rh structure.

Geometry as extended XYZ:
```
5
Lattice="3.630 0.000 0.000 0.000 3.630 0.000 1.815 1.815 6.814" Properties=species:S:1:pos:R:3 pbc="T T T"
Rh 0.000 0.000 0.000
Ag 3.630 1.815 3.407
Ag 1.815 3.630 3.407
Pt 1.815 1.815 1.259
Pt 3.630 3.630 5.555
```

Output
For the formation energy, the calculation gives 2.8 eV/f.u. For the density of states at the Fermi level, the calculation gives 7.2 states/eV per cell.